Entry 1:
Density functional theory data (PBE-GGA) for an optimized crystal structure of CsSc2BeNi. Values from VASP.

Cell and atoms, written as Quantum ESPRESSO input:
```
&SYSTEM
  ibrav = 0, nat = 5, ntyp = 4
/
ATOMIC_SPECIES
Cs 132.91 Cs.upf
Sc 44.96 Sc.upf
Be 9.01 Be.upf
Ni 58.69 Ni.upf
ATOMIC_POSITIONS crystal
Cs 0.000 0.000 0.000
Sc 0.000 0.500 0.500
Sc 0.500 0.000 0.500
Be 0.500 0.500 0.500
Ni 0.500 0.500 0.000
CELL_PARAMETERS angstrom
5.090 0.000 0.000
0.000 5.090 0.000
0.000 0.000 4.271
```

Calculated values
VASP energy = -19.769 eV for the cell shown
Total magnetization = 0.00 μB/cell
SG = P4/mmm, No. 123

Entry 2:
Density functional theory data (PBE-GGA) for an optimized crystal structure of Cs2NpBeO6. Values from VASP.

Cell and atoms, written as Quantum ESPRESSO input:
```
&SYSTEM
  ibrav = 0, nat = 10, ntyp = 4
/
ATOMIC_SPECIES
Cs 132.91 Cs.upf
Np 237.00 Np.upf
Be 9.01 Be.upf
O 16.00 O.upf
ATOMIC_POSITIONS crystal
Cs 0.333 0.667 0.316
Cs 0.667 0.333 0.684
Np 0.000 0.000 0.000
Be 0.000 0.000 0.500
O 0.128 0.255 0.736
O 0.128 0.872 0.736
O 0.255 0.128 0.264
O 0.745 0.872 0.736
O 0.872 0.128 0.264
O 0.872 0.745 0.264
CELL_PARAMETERS angstrom
6.562 0.000 0.000
-3.281 5.683 0.000
0.000 0.000 5.138
```

Calculated values
VASP energy = -68.157 eV for the cell shown
Total magnetization = 1.06 μB/cell
SG = P-3m1, No. 164
Raw formation energy = -2.00 eV/atom